Computed, not measured: a relaxed YCo2Pb crystal at the PBE level of DFT.

Values from the calculation:
SG	No. 119
N(E_F)	3.31	states/eV/cell
crystal system	tetragonal

Unit cell a=5.4223 b=5.4223 c=5.4223 alpha=137.59 beta=137.59 gamma=61.54
Closest atoms and distances in Å follow each position.
Atoms (fractional coordinates):
Co 0.0000 0.0000 0.0000  4 Pb 2.77, 4 Co 3.05, 4 Y 3.05
Co 0.2500 0.7500 0.5000  4 Y 2.77, 4 Pb 3.05, 4 Co 3.05
Pb 0.5000 0.5000 0.0000  8 Co 2.77-3.05, 4 Y 3.05
Y 0.7500 0.2500 0.5000  8 Co 2.77-3.05, 4 Pb 3.05


Computed, not measured: a relaxed LaMn3Au crystal at the PBE level of DFT.

Values from the calculation:
ΔE to the lowest computed polymorph	0.000	eV per atom
SG	No. 221
N(E_F)	7.13	states/eV/cell
crystal system	cubic

Unit cell a=4.9795 b=4.9795 c=4.9795 alpha=90.00 beta=90.00 gamma=90.00
Closest atoms and distances in Å follow each position.
Atoms (fractional coordinates):
Mn 0.0000 0.5000 0.0000  2 Au 2.49
Mn 0.0000 0.0000 0.5000  2 Au 2.49
Mn 0.5000 0.0000 0.0000  2 Au 2.49
Au 0.0000 0.0000 0.0000  6 Mn 2.49
La 0.5000 0.5000 0.5000  12 Mn 3.52


DFT formation energy
In order: 0.193 0.545
Unit: eV/atom